(1)
DFT (GGA+U) results for TlV2O6 after structural relaxation.

The total energy is -122.11 eV/cell. Its total moment is 0.0 μB per formula unit. For the density of states at the Fermi level, the calculation gives 4.45 states/eV/cell. As for the relative energy among the computed polymorphs: 0 meV/atom.

The structure belongs to space group C2/m (No. 12); the cell edges are 10.6980, 3.7015 and 7.5055 Å and the angles 90.00°, 102.83° and 90.00°. The asymmetric unit holds Tl at (0.0000, 0.0000, 0.0000), V at (0.2404, 0.0000, 0.6644), O at (0.1024, 0.0000, 0.7286), O at (0.1336, 0.5000, 0.1418) and O at (0.2413, 0.0000, 0.3964).

***

(2)
DFT (GGA+U) results for TlV6O12 after structural relaxation.

The total energy is -409.04 eV/cell. Its total moment is 7.0 μB per formula unit. For the density of states at the Fermi level, the calculation gives 12.66 states/eV/cell.

The structure belongs to space group R-3m (No. 166, hexagonal axes); the cell edges are 9.6674, 9.6674 and 7.4530 Å and the angles 90.00°, 90.00° and 120.00°. The asymmetric unit holds Tl at (0.0000, 0.0000, 0.0000), V at (0.0770, 0.5385, 0.2981), O at (0.0000, 0.3757, 0.5000) and O at (0.0914, 0.1827, 0.3716).